[1]
This record from the Alexandria database describes a geometry-optimized SrMoAs structure. The functional is GGA-PBE.

## Properties
The formation energy comes out at -1.43 eV/f.u. The total energy is -6.198 eV/atom. The calculation puts the density of states at the Fermi level at 0.71 states/eV/atom. For the total magnetization, the calculation gives 0.00 μB per formula unit.

Lattice parameters (Å, degrees): 3.9789 3.9789 9.8344 90.00 90.00 90.00
Last column: nearest neighbours and their distance in Å.
Space group P4/nmm (No. 129, origin choice 2)
Symmetry-distinct sites (fractional):
Sr 0.2500 0.2500 0.1821 [2 per cell]  4 As 3.16
Mo 0.2500 0.7500 0.5000 [2 per cell]  4 As 2.61, 4 Mo 2.81
As 0.2500 0.2500 0.6722 [2 per cell]  4 Mo 2.61

[2]
This record from the Alexandria database describes a geometry-optimized ScZn2Mo structure. The functional is GGA-PBE.

## Properties
The formation energy comes out at 1.10 eV/f.u. The total energy is -4.654 eV/atom. The calculation puts the density of states at the Fermi level at 1.47 states/eV/atom. For the total magnetization, the calculation gives 1.13 μB per formula unit. The energy above the most stable polymorph in this dataset is 346 meV per atom.

Lattice parameters (Å, degrees): 6.4498 6.4498 6.4498 90.00 90.00 90.00
Last column: nearest neighbours and their distance in Å.
Space group F-43m (No. 216)
Symmetry-distinct sites (fractional):
Sc 0.0000 0.0000 0.0000 [4 per cell]  4 Mo 2.79, 4 Zn 2.79
Zn 0.0000 0.0000 0.5000 [4 per cell]  4 Mo 2.79, 4 Zn 2.79
Zn 0.2500 0.2500 0.7500 [4 per cell]  4 Sc 2.79, 4 Zn 2.79
Mo 0.2500 0.2500 0.2500 [4 per cell]  4 Sc 2.79, 4 Zn 2.79